Run one
# La2YNi GGA-PBE relaxed
# Spin magnetization in μB/f.u.: 0.00
data_La2YNi
_chemical_formula_sum 'La2 Y1 Ni1'
_cell_length_a 4.7247
_cell_length_b 4.0422
_cell_length_c 6.4425
_cell_angle_alpha 90.00
_cell_angle_beta 106.53
_cell_angle_gamma 90.00
_symmetry_space_group_name_H-M 'P 1 2/m 1'
_symmetry_Int_Tables_number 10
loop_
_symmetry_equiv_pos_as_xyz
'x,y,z'
'-x,-y,-z'
'-x,y,-z'
'x,-y,z'
loop_
_atom_site_label
_atom_site_fract_x
_atom_site_fract_y
_atom_site_fract_z
La1 0.1359 0.0000 0.2933
Y1 0.5000 0.5000 0.0000
Ni1 0.5000 0.5000 0.5000

Run two
# La2YNi GGA-PBE relaxed
# Spin magnetization in μB/f.u.: 0.92
data_La2YNi
_chemical_formula_sum 'La8 Y4 Ni4'
_cell_length_a 7.4529
_cell_length_b 7.4529
_cell_length_c 7.4529
_cell_angle_alpha 90.00
_cell_angle_beta 90.00
_cell_angle_gamma 90.00
_symmetry_space_group_name_H-M 'F -4 3 m'
_symmetry_Int_Tables_number 216
_symmetry_space_group_name_Hall 'F -4 2 3'
loop_
_atom_site_label
_atom_site_fract_x
_atom_site_fract_y
_atom_site_fract_z
La1 0.0000 0.0000 0.0000
La2 0.2500 0.2500 0.2500
Y1 0.2500 0.2500 0.7500
Ni1 0.0000 0.0000 0.5000

Tell me which of them is the least stable. Sure, it is run two.

Run one
# La2YNi GGA-PBE relaxed
# Spin magnetization in μB/f.u.: 0.70
data_La2YNi
_chemical_formula_sum 'La8 Y4 Ni4'
_cell_length_a 7.6255
_cell_length_b 7.6255
_cell_length_c 7.6255
_cell_angle_alpha 90.00
_cell_angle_beta 90.00
_cell_angle_gamma 90.00
_symmetry_space_group_name_H-M 'F m -3 m'
_symmetry_Int_Tables_number 225
_symmetry_space_group_name_Hall '-F 4 2 3'
loop_
_atom_site_label
_atom_site_fract_x
_atom_site_fract_y
_atom_site_fract_z
La1 0.2500 0.2500 0.2500
Y1 0.0000 0.0000 0.0000
Ni1 0.0000 0.0000 0.5000

Run two
# La2YNi GGA-PBE relaxed
# Spin magnetization in μB/f.u.: 0.00
data_La2YNi
_chemical_formula_sum 'La4 Y2 Ni2'
_cell_length_a 3.6685
_cell_length_b 5.5699
_cell_length_c 11.2308
_cell_angle_alpha 90.00
_cell_angle_beta 90.00
_cell_angle_gamma 90.00
_symmetry_space_group_name_H-M 'I m m m'
_symmetry_Int_Tables_number 71
_symmetry_space_group_name_Hall '-I 2 2'
loop_
_atom_site_label
_atom_site_fract_x
_atom_site_fract_y
_atom_site_fract_z
La1 0.0000 0.0000 0.1907
Y1 0.0000 0.5000 0.0000
Ni1 0.0000 0.5000 0.5000

Tell me which of them is the least stable. Sure, it is run one.